The following is a meta-GGA SCAN calculation of a crystal of TlCN2 relaxed with PBEsol, from Alexandria via LeMat-Bulk.

Geometry as CIF:
```
data_TlCN2
_chemical_formula_sum 'Tl3 C3 N6'
_symmetry_space_group_name_H-M 'P 1'
_symmetry_Int_Tables_number 1
_cell_length_a 3.855
_cell_length_b 3.855
_cell_length_c 15.032
_cell_angle_alpha 90.00
_cell_angle_beta 90.00
_cell_angle_gamma 120.00
loop_
_symmetry_equiv_pos_as_xyz
'x,y,z'
loop_
_atom_site_label
_atom_site_type_symbol
_atom_site_fract_x
_atom_site_fract_y
_atom_site_fract_z
Tl1 Tl 0.000 0.000 0.000
Tl2 Tl 0.333 0.667 0.667
Tl3 Tl 0.667 0.333 0.333
C1 C 0.000 0.000 0.500
C2 C 0.333 0.667 0.167
C3 C 0.667 0.333 0.833
N1 N 0.000 0.000 0.418
N2 N 0.000 0.000 0.582
N3 N 0.333 0.667 0.084
N4 N 0.333 0.667 0.249
N5 N 0.667 0.333 0.751
N6 N 0.667 0.333 0.916
```

Summary:
M_tot = 0.00 μB/atom
ΔE_f (raw) = 0.386 eV/atom
crystal system = trigonal
energy = -24.874 eV per atom